CdNiRh2: PBEsol geometry, meta-GGA SCAN.

Cell lengths 2.734, 3.705, 5.569 Å; angles 90.00, 90.01, 90.00 degrees
Last column: magnetic moment on the atom in μB.
Atoms (fractional coordinates):
Cd  0.000  0.000  0.510  -0.02
Ni  0.500  0.500  0.772  0.59
Rh  0.500  0.500  0.221  0.31
Rh  0.000  0.000  0.998  0.41

Summary:
E_form	0.081	eV per atom
calculated volume	56.4	Å³ per cell
energy	-28.452	eV/atom


CdNi2Rh: PBEsol geometry, meta-GGA SCAN.

Cell lengths 2.721, 4.474, 4.727 Å; angles 99.93, 90.00, 107.70 degrees
Last column: magnetic moment on the atom in μB.
Atoms (fractional coordinates):
Cd  0.000  0.000  0.500  -0.03
Ni  0.244  0.488  0.217  0.78
Ni  0.756  0.512  0.783  0.78
Rh  0.500  0.000  0.000  0.51

Summary:
E_form	0.157	eV per atom
calculated volume	53.9	Å³ per cell
energy	-23.976	eV/atom


Q: The lowest E_form belongs to which entry?
A: CdNiRh2